(1)
Density functional theory data (PBE-GGA) for a relaxed structure of Tm2NbAl2Ru5.

* total magnetization: 0.0 μB/cell
* ρ: 9.8 Mg/m³
* density of states at the Fermi level: 16.28 states/eV per cell
* space-group type: P4/mbm (127)
* formation enthalpy at 0 K: -0.467 eV/atom

Unit cell a=3.2993 b=10.0615 c=10.0615 alpha=90.00 beta=90.00 gamma=90.00
Element x y z (fractional)
1 Ru 0.5000 0.3006 0.5676
2 Ru 0.5000 0.0000 0.5000
3 Ru 0.5000 0.6994 0.4324
4 Ru 0.5000 0.8006 0.9324
5 Ru 0.5000 0.5676 0.6994
6 Ru 0.5000 0.0676 0.8006
7 Ru 0.5000 0.4324 0.3006
8 Ru 0.5000 0.1994 0.0676
9 Ru 0.5000 0.5000 0.0000
10 Ru 0.5000 0.9324 0.1994
11 Al 0.0000 0.6267 0.8733
12 Al 0.0000 0.3733 0.1267
13 Al 0.0000 0.8733 0.3733
14 Al 0.0000 0.1267 0.6267
15 Tm 0.0000 0.3285 0.8285
16 Tm 0.0000 0.6715 0.1715
17 Tm 0.0000 0.8285 0.6715
18 Tm 0.0000 0.1715 0.3285
19 Nb 0.0000 0.5000 0.5000
20 Nb 0.0000 0.0000 0.0000



(2)
Density functional theory data (PBE-GGA) for a relaxed structure of Nb2AlV2Ru5.

* total magnetization: 0.0 μB/cell
* ρ: 9.0 Mg/m³
* density of states at the Fermi level: 18.27 states/eV per cell
* space-group type: P4/mbm (127)
* formation enthalpy at 0 K: -0.141 eV/atom

Unit cell a=3.0546 b=9.9444 c=9.9444 alpha=90.00 beta=90.00 gamma=90.00
Element x y z (fractional)
1 V 0.0000 0.1351 0.6351
2 V 0.0000 0.6351 0.8649
3 V 0.0000 0.3649 0.1351
4 V 0.0000 0.8649 0.3649
5 Ru 0.5000 0.8004 0.9505
6 Ru 0.5000 0.4505 0.3004
7 Ru 0.5000 0.0000 0.5000
8 Ru 0.5000 0.5495 0.6996
9 Ru 0.5000 0.1996 0.0495
10 Ru 0.5000 0.6996 0.4505
11 Ru 0.5000 0.3004 0.5495
12 Ru 0.5000 0.9505 0.1996
13 Ru 0.5000 0.0495 0.8004
14 Ru 0.5000 0.5000 0.0000
15 Nb 0.0000 0.1774 0.3226
16 Nb 0.0000 0.8226 0.6774
17 Nb 0.0000 0.6774 0.1774
18 Nb 0.0000 0.3226 0.8226
19 Al 0.0000 0.0000 0.0000
20 Al 0.0000 0.5000 0.5000



(3)
Density functional theory data (PBE-GGA) for a relaxed structure of Y2NbAl2Ru5.

* total magnetization: 0.0 μB/cell
* ρ: 8.1 Mg/m³
* density of states at the Fermi level: 16.63 states/eV per cell
* space-group type: P4/mbm (127)
* formation enthalpy at 0 K: -0.433 eV/atom

Unit cell a=3.3062 b=10.1344 c=10.1344 alpha=90.00 beta=90.00 gamma=90.00
Element x y z (fractional)
1 Y 0.0000 0.8279 0.6721
2 Y 0.0000 0.6721 0.1721
3 Y 0.0000 0.3279 0.8279
4 Y 0.0000 0.1721 0.3279
5 Al 0.0000 0.8736 0.3736
6 Al 0.0000 0.6264 0.8736
7 Al 0.0000 0.3736 0.1264
8 Al 0.0000 0.1264 0.6264
9 Ru 0.5000 0.5663 0.6994
10 Ru 0.5000 0.6994 0.4337
11 Ru 0.5000 0.3006 0.5663
12 Ru 0.5000 0.1994 0.0663
13 Ru 0.5000 0.4337 0.3006
14 Ru 0.5000 0.9337 0.1994
15 Ru 0.5000 0.8006 0.9337
16 Ru 0.5000 0.0000 0.5000
17 Ru 0.5000 0.5000 0.0000
18 Ru 0.5000 0.0663 0.8006
19 Nb 0.0000 0.0000 0.0000
20 Nb 0.0000 0.5000 0.5000



(4)
Density functional theory data (PBE-GGA) for a relaxed structure of Nb2AlS.

* total magnetization: 0.0 μB/cell
* ρ: 6.2 Mg/m³
* density of states at the Fermi level: 5.53 states/eV per cell
* energy relative to the elements, uncorrected: -3 kJ/mol of atoms
* space-group type: Fm-3m (225)
* polymorph energy (0 for the lowest one): 0.000 eV/atom

Unit cell a=4.5166 b=4.5166 c=4.5166 alpha=60.00 beta=60.00 gamma=60.00
Element x y z (fractional)
1 Nb 0.7500 0.7500 0.7500
2 Nb 0.2500 0.2500 0.2500
3 Al 0.0000 0.0000 0.0000
4 S 0.5000 0.5000 0.5000



(5)
Density functional theory data (PBE-GGA) for a relaxed structure of Nb4AlS8.

* total magnetization: 0.0 μB/cell
* ρ: 4.4 Mg/m³
* density of states at the Fermi level: 5.16 states/eV per cell
* energy relative to the elements, uncorrected: -94 kJ/mol of atoms
* space-group type: R-3m (166)

Unit cell a=7.4317 b=7.4317 c=7.4317 alpha=53.42 beta=53.42 gamma=53.42
Element x y z (fractional)
1 S 0.2543 0.7474 0.2543
2 S 0.2526 0.7457 0.7457
3 S 0.7457 0.2526 0.7457
4 S 0.2543 0.2543 0.7474
5 S 0.7457 0.7457 0.2526
6 S 0.7474 0.2543 0.2543
7 S 0.7489 0.7489 0.7489
8 S 0.2511 0.2511 0.2511
9 Al 0.5000 0.5000 0.5000
10 Nb 0.0000 0.0000 0.0000
11 Nb 0.0000 0.5000 0.5000
12 Nb 0.5000 0.0000 0.5000
13 Nb 0.5000 0.5000 0.0000



(6)
Density functional theory data (PBE-GGA) for a relaxed structure of Nb8AlS2.

* total magnetization: 0.0 μB/cell
* ρ: 7.3 Mg/m³
* density of states at the Fermi level: 8.31 states/eV per cell
* energy relative to the elements, uncorrected: -21 kJ/mol of atoms
* space-group type: C2/m (12)

Unit cell a=5.0545 b=7.4769 c=7.4769 alpha=42.27 beta=86.87 gamma=86.87
Element x y z (fractional)
1 Nb 0.1360 0.7894 0.7894
2 Nb 0.8640 0.2106 0.2106
3 Nb 0.6144 0.1510 0.6463
4 Nb 0.8887 0.5871 0.5871
5 Nb 0.3856 0.3537 0.8490
6 Nb 0.1113 0.4129 0.4129
7 Nb 0.3856 0.8490 0.3537
8 Nb 0.6144 0.6463 0.1510
9 S 0.6531 0.7419 0.7419
10 S 0.3469 0.2581 0.2581
11 Al 0.0000 0.0000 0.0000